HoCoSn2: relaxed, PBEsol.

Calculated values
crystal system: orthorhombic
energy of formation: -2.02 eV per formula unit
theoretical density: 9.7 Mg/m³
DOS at the Fermi energy: 2.1 states/eV/f.u.
space group: No. 63

abc: 5.6891 5.6891 7.0966
angles: 90.00 90.00 136.66
Atoms (fractional coordinates):
Ho  0.0661  0.9339  0.7500
Ho  0.9339  0.0661  0.2500
Co  0.2031  0.7969  0.2500
Co  0.7969  0.2031  0.7500
Sn  0.3559  0.6441  0.5441
Sn  0.3559  0.6441  0.9559
Sn  0.6441  0.3559  0.0441
Sn  0.6441  0.3559  0.4559

=====

TbHoCo4: relaxed, PBEsol.

Calculated values
crystal system: cubic
energy of formation: -1.28 eV per formula unit
theoretical density: 10.7 Mg/m³
DOS at the Fermi energy: 8.9 states/eV/f.u.
space group: No. 216

abc: 4.9641 4.9641 4.9641
angles: 60.00 60.00 60.00
Atoms (fractional coordinates):
Tb  0.0000  0.0000  0.0000
Ho  0.2500  0.2500  0.2500
Co  0.1253  0.6249  0.6249
Co  0.6249  0.1253  0.6249
Co  0.6249  0.6249  0.1253
Co  0.6249  0.6249  0.6249

=====

Ho6CoTe2: relaxed, PBEsol.

Calculated values
crystal system: hexagonal
energy relative to the elements, uncorrected: -0.702 eV per atom
theoretical density: 9.8 Mg/m³
DOS at the Fermi energy: 9.7 states/eV/f.u.
space group: No. 189

abc: 8.1734 8.1734 3.8306
angles: 90.00 90.00 120.00
Atoms (fractional coordinates):
Ho  0.0000  0.3989  0.0000
Ho  0.0000  0.7637  0.5000
Ho  0.2363  0.2363  0.5000
Ho  0.3989  0.0000  0.0000
Ho  0.6011  0.6011  0.0000
Ho  0.7637  0.0000  0.5000
Co  0.0000  0.0000  0.0000
Te  0.3333  0.6667  0.5000
Te  0.6667  0.3333  0.5000

=====

CoI2: relaxed, PBEsol.

Calculated values
crystal system: trigonal
energy relative to the elements, uncorrected: -0.008 eV per atom
theoretical density: 6.7 Mg/m³
DOS at the Fermi energy: 2.1 states/eV/f.u.
space group: No. 164

abc: 3.7967 3.7967 6.2333
angles: 90.00 90.00 120.00
Atoms (fractional coordinates):
Co  0.0000  0.0000  0.0000
I  0.3333  0.6667  0.2269
I  0.6667  0.3333  0.7731

=====

Values for V, Å³/f.u., ordered as above
78.8 86.5 221.6 77.8